(1)
BaMg2N | meta-GGA SCAN | PBEsol geometry

Cell lengths 6.6506, 6.6506, 6.6506 Å; angles 60.00, 60.00, 60.00 degrees
With the nearest neighbours (Å) after each atom.
Atoms (fractional coordinates):
Ba 0.0000 0.0000 0.0000  12 Mg 3.90, 4 N 4.07, 4 Ba 4.07
Ba 0.2500 0.2500 0.2500  12 Mg 3.90, 4 Ba 4.07, 4 N 4.07
Mg 0.1250 0.6250 0.6250  2 N 2.04
Mg 0.6250 0.6250 0.6250  2 N 2.04
Mg 0.6250 0.6250 0.1250  2 N 2.04
Mg 0.6250 0.1250 0.6250  2 N 2.04
N 0.5000 0.5000 0.5000  4 Mg 2.04
N 0.7500 0.7500 0.7500  4 Mg 2.04

## Properties
The total DFT energy (no corrections) is -14.89 eV per atom. Its volume is 208.0 Å³/cell. As for the spin magnetization: 0.003 μB/cell.



(2)
NiPtAu2 | meta-GGA SCAN | PBEsol geometry

Cell lengths 4.3979, 4.3979, 4.3979 Å; angles 60.00, 60.00, 60.00 degrees
With the nearest neighbours (Å) after each atom.
Atoms (fractional coordinates):
Au 0.0000 0.0000 0.0000  4 Pt 2.69, 4 Au 2.69
Au 0.7500 0.7500 0.7500  4 Ni 2.69, 4 Au 2.69
Ni 0.5000 0.5000 0.5000  4 Au 2.69, 4 Pt 2.69
Pt 0.2500 0.2500 0.2500  4 Ni 2.69, 4 Au 2.69

## Properties
Its volume is 60.1 Å³/cell. The value obtained for the formation energy is 0.6 eV per formula unit. As for the spin magnetization: 1.043 μB/cell. The calculation puts the distance to the lowest polymorph of the same formula at 148 meV per atom.



(3)
ScAgN2F | meta-GGA SCAN | PBEsol geometry

Cell lengths 3.9518, 4.1795, 4.1795 Å; angles 90.00, 90.00, 90.00 degrees
With the nearest neighbours (Å) after each atom.
Atoms (fractional coordinates):
N 0.0000 0.5000 0.0000  2 Sc 2.09
N 0.0000 0.0000 0.5000  2 Sc 2.09
Sc 0.0000 0.0000 0.0000  2 F 1.98, 4 N 2.09
F 0.5000 0.0000 0.0000  2 Sc 1.98
Ag 0.5000 0.5000 0.5000  8 N 2.88, 4 F 2.96

## Properties
The total DFT energy (no corrections) is -13.85 eV per atom. Its volume is 69.0 Å³/cell. As for the spin magnetization: 3.002 μB/cell.



(4)
KZr2Hg | meta-GGA SCAN | PBEsol geometry

Cell lengths 3.0620, 5.5012, 5.8837 Å; angles 90.00, 93.39, 90.00 degrees
With the nearest neighbours (Å) after each atom.
Atoms (fractional coordinates):
Zr 0.7340 0.0000 0.7934  4 Zr 2.85-3.06, 2 Hg 3.11
Zr 0.2660 0.0000 0.2066  4 Zr 2.85-3.06, 2 Hg 3.11
Hg 0.5000 0.5000 0.0000  2 Hg 3.06, 4 Zr 3.11, 4 K 3.24-3.40
K 0.0000 0.5000 0.5000  2 K 3.06, 4 Hg 3.24-3.40, 4 Zr 3.37

## Properties
Its volume is 98.9 Å³/cell. The value obtained for the formation energy is 1.6 eV per formula unit. As for the spin magnetization: 0.000 μB/cell.



(5)
NaMgBe3 | meta-GGA SCAN | PBEsol geometry

Cell lengths 4.6138, 4.6138, 4.6138 Å; angles 90.00, 90.00, 90.00 degrees
With the nearest neighbours (Å) after each atom.
Atoms (fractional coordinates):
Be 0.0000 0.0000 0.5000  2 Mg 2.31
Be 0.0000 0.5000 0.0000  2 Mg 2.31
Be 0.5000 0.0000 0.0000  2 Mg 2.31
Mg 0.0000 0.0000 0.0000  6 Be 2.31
Na 0.5000 0.5000 0.5000  12 Be 3.26

## Properties
Its volume is 98.2 Å³/cell. The value obtained for the formation energy is 6.2 eV per formula unit. As for the spin magnetization: 0.000 μB/cell.



(6)
NaSc2Au | meta-GGA SCAN | PBEsol geometry

Cell lengths 3.3933, 3.3933, 10.6124 Å; angles 80.80, 80.80, 60.00 degrees
With the nearest neighbours (Å) after each atom.
Atoms (fractional coordinates):
Au 0.5000 0.5000 0.5000  6 Sc 2.76
Na 0.0000 0.0000 0.0000  2 Sc 3.28, 6 Na 3.39
Sc 0.1047 0.1047 0.6858  3 Au 2.76
Sc 0.8953 0.8953 0.3142  3 Au 2.76

## Properties
Its volume is 104.0 Å³/cell. The value obtained for the formation energy is -0.6 eV per formula unit. As for the spin magnetization: 0.363 μB/cell.



Question: Among the records above, which one has the lowest volume?
Answer: NiPtAu2



Question: Which value of spin magnetization does entry 2 give?
Answer: 1.043 μB/cell